[1]
This record from the Alexandria database describes YMnP2N after structural relaxation. The functional is GGA-PBE.

ρ: 3.16 g cm⁻³
calculated total energy: -0.398 Ry/atom
raw formation energy: 1.54 eV/atom
D(E_F): 1.2650 states/eV/atom

Structure (POSCAR):
```
YMnP2N
1.0
5.2445 0.0000 0.0000
0.0000 4.2043 0.0000
0.0000 0.0000 5.2445
Y P Mn N
1 2 1 1
direct
0.0000 0.0000 0.0000
0.0000 0.0000 0.5000
0.5000 0.0000 0.0000
0.5000 0.5000 0.5000
0.0000 0.5000 0.0000
```

***

[2]
This record from the Alexandria database describes Pa2MnN after structural relaxation. The functional is GGA-PBE.

ρ: 12.56 g cm⁻³
calculated total energy: -0.704 Ry/atom
raw formation energy: -0.46 eV/atom
D(E_F): 0.7784 states/eV/atom

Structure (POSCAR):
```
Pa2MnN
1.0
3.6273 0.0000 0.0000
1.8137 3.1414 0.0000
1.8137 1.0471 6.1599
Pa Mn N
2 1 1
direct
0.2442 0.2442 0.2674
0.7558 0.7558 0.7326
0.0000 0.0000 0.0000
0.5000 0.5000 0.5000
```

***

[3]
This record from the Alexandria database describes Pa4MnN7 after structural relaxation. The functional is GGA-PBE.

ρ: 11.15 g cm⁻³
calculated total energy: -0.757 Ry/atom
raw formation energy: -1.52 eV/atom
D(E_F): 0.2774 states/eV/atom

Structure (POSCAR):
```
Pa4MnN7
1.0
-0.0043 0.4012 3.8259
3.1667 -5.2743 2.4907
5.8259 3.2224 1.6027
Pa Mn N
4 1 7
direct
0.5791 0.2149 0.6270
0.4209 0.7851 0.3730
0.7465 0.6668 0.8403
0.2535 0.3332 0.1597
0.0000 0.0000 0.0000
0.8013 0.8532 0.5441
0.1987 0.1468 0.4559
0.0923 0.7047 0.1106
0.9077 0.2953 0.8894
0.3712 0.5722 0.6853
0.5000 0.0000 0.0000
0.6288 0.4278 0.3147
```

***

[4]
This record from the Alexandria database describes Pa3MnN7 after structural relaxation. The functional is GGA-PBE.

ρ: 9.48 g cm⁻³
calculated total energy: -0.718 Ry/atom
raw formation energy: -1.05 eV/atom
D(E_F): 0.4086 states/eV/atom

Structure (POSCAR):
```
Pa3MnN7
1.0
-2.8025 -5.6692 1.5704
6.2149 -1.1989 -1.5485
1.9361 0.9843 7.0085
Pa Mn N
6 2 14
direct
0.4757 0.4757 0.5000
0.5243 0.5243 0.0000
0.5378 0.9997 0.2577
0.4622 0.0003 0.7577
0.9997 0.5378 0.7423
0.0003 0.4622 0.2423
0.9549 0.9549 0.5000
0.0451 0.0451 0.0000
0.6810 0.9204 0.5397
0.3190 0.0796 0.0397
0.9204 0.6810 0.4603
0.0796 0.3190 0.9603
0.1001 0.3626 0.5119
0.8999 0.6374 0.0119
0.3626 0.1001 0.4881
0.6374 0.8999 0.9881
0.3721 0.6279 0.2500
0.6279 0.3721 0.7500
0.6384 0.3616 0.2500
0.3616 0.6384 0.7500
0.9383 0.0617 0.2500
0.0617 0.9383 0.7500
```

***

[5]
This record from the Alexandria database describes Pa3MnPb3N8 after structural relaxation. The functional is GGA-PBE.

ρ: 9.59 g cm⁻³
calculated total energy: -0.605 Ry/atom
raw formation energy: -0.54 eV/atom

Structure (POSCAR):
```
Pa3MnPb3N8
1.0
7.0751 0.1382 -0.0414
-3.4197 5.9213 -0.0193
-0.1146 -3.9961 6.0802
Pa Mn Pb N
3 1 3 8
direct
0.5000 0.0000 0.5000
0.5000 0.5000 0.5000
0.0000 0.5000 0.5000
0.0000 0.0000 0.5000
0.0000 0.0000 0.0000
0.0000 0.5000 0.0000
0.5000 0.5000 0.0000
0.2638 0.5357 0.3076
0.7362 0.4643 0.6924
0.7885 0.5776 0.3332
0.2115 0.4224 0.6668
0.7885 0.0440 0.3332
0.2115 0.9560 0.6668
0.3155 0.0581 0.3007
0.6845 0.9419 0.6993
```

***

[6]
This record from the Alexandria database describes Pa3Mn4PbN12 after structural relaxation. The functional is GGA-PBE.

ρ: 6.72 g cm⁻³
calculated total energy: -0.646 Ry/atom
raw formation energy: -0.35 eV/atom
D(E_F): 0.2508 states/eV/atom

Structure (POSCAR):
```
Pa3Mn4PbN12
1.0
-6.7136 2.0424 1.1673
-0.2132 -3.3003 -6.2984
1.1171 -5.2167 4.7059
Pa Mn Pb N
3 4 1 12
direct
0.5514 0.4486 0.0000
0.4486 0.0000 0.5514
0.0000 0.5514 0.4486
0.9497 0.0503 0.5000
0.0503 0.5000 0.9497
0.5000 0.9497 0.0503
0.5000 0.5000 0.5000
0.0000 0.0000 0.0000
0.5000 0.3443 0.6557
0.8930 0.5000 0.1070
0.1070 0.8930 0.5000
0.5000 0.1070 0.8930
0.3624 0.9719 0.2128
0.2128 0.3624 0.9719
0.9719 0.2128 0.3624
0.6376 0.7872 0.0281
0.0281 0.6376 0.7872
0.7872 0.0281 0.6376
0.6557 0.5000 0.3443
0.3443 0.6557 0.5000
```

***

[7]
This record from the Alexandria database describes PaMnPbN4 after structural relaxation. The functional is GGA-PBE.

ρ: 8.41 g cm⁻³
calculated total energy: -0.613 Ry/atom
raw formation energy: -0.39 eV/atom
D(E_F): 0.2517 states/eV/atom

Structure (POSCAR):
```
PaMnPbN4
1.0
5.7458 0.0000 -0.0053
0.0000 5.4548 0.0000
-2.2584 0.0000 6.9191
Pa Mn Pb N
2 2 2 8
direct
0.7621 0.7500 0.4436
0.2379 0.2500 0.5564
0.2126 0.7500 0.3100
0.7874 0.2500 0.6900
0.6464 0.7500 0.9070
0.3536 0.2500 0.0930
0.9836 0.4923 0.6930
0.0164 0.9923 0.3070
0.0164 0.5077 0.3070
0.9836 0.0077 0.6930
0.4331 0.7500 0.1752
0.5669 0.2500 0.8248
0.4237 0.7500 0.5506
0.5763 0.2500 0.4494
```

***

[8]
This record from the Alexandria database describes Pm2PaMnN4 after structural relaxation. The functional is GGA-PBE.

ρ: 8.88 g cm⁻³
calculated total energy: -0.645 Ry/atom
raw formation energy: -1.09 eV/atom
D(E_F): 0.2008 states/eV/atom

Structure (POSCAR):
```
Pm2PaMnN4
1.0
-0.5696 -3.2613 0.8728
3.7723 2.2266 4.0666
-9.3524 3.4497 6.7867
Pm Pa Mn N
4 2 2 8
direct
0.3691 0.7382 0.5516
0.6309 0.2618 0.0516
0.6309 0.2618 0.4484
0.3691 0.7382 0.9484
0.1070 0.2141 0.7500
0.8930 0.7859 0.2500
0.8372 0.6744 0.7500
0.1628 0.3256 0.2500
0.2843 0.5687 0.1369
0.7157 0.4313 0.6369
0.7157 0.4313 0.8631
0.2843 0.5687 0.3631
0.0000 0.0000 0.5000
0.0000 0.0000 0.0000
0.4622 0.9244 0.7500
0.5378 0.0756 0.2500
```

***

[9]
This record from the Alexandria database describes PrPa3Mn4N12 after structural relaxation. The functional is GGA-PBE.

ρ: 6.53 g cm⁻³
calculated total energy: -0.667 Ry/atom
raw formation energy: -0.59 eV/atom
D(E_F): 0.3630 states/eV/atom

Structure (POSCAR):
```
PrPa3Mn4N12
1.0
7.0672 -0.0467 -0.0649
-1.7482 6.8478 -0.0649
-1.7482 -2.2352 6.4730
Pr Pa Mn N
1 3 4 12
direct
0.0000 0.0000 0.0000
0.5472 0.4528 0.0000
0.4528 0.0000 0.5472
0.0000 0.5472 0.4528
0.9522 0.0478 0.5000
0.0478 0.5000 0.9522
0.5000 0.9522 0.0478
0.5000 0.5000 0.5000
0.5000 0.3443 0.6557
0.8914 0.5000 0.1086
0.1086 0.8914 0.5000
0.5000 0.1086 0.8914
0.3505 0.9716 0.2060
0.2060 0.3505 0.9716
0.9716 0.2060 0.3505
0.6495 0.7940 0.0284
0.0284 0.6495 0.7940
0.7940 0.0284 0.6495
0.6557 0.5000 0.3443
0.3443 0.6557 0.5000
```

***

[10]
This record from the Alexandria database describes PrPa2MnN5 after structural relaxation. The functional is GGA-PBE.

ρ: 9.97 g cm⁻³
calculated total energy: -0.703 Ry/atom
raw formation energy: -1.28 eV/atom
D(E_F): 0.6512 states/eV/atom

Structure (POSCAR):
```
PrPa2MnN5
1.0
-1.3596 -5.5596 3.2651
2.4764 -3.5313 -4.9816
4.4891 4.7144 3.2476
Pr Pa Mn N
2 4 2 10
direct
0.2500 0.2500 0.5000
0.7500 0.7500 0.5000
0.1735 0.3265 0.0000
0.6735 0.1735 0.0000
0.3265 0.8265 0.0000
0.8265 0.6735 0.0000
0.2500 0.7500 0.5000
0.7500 0.2500 0.5000
0.9868 0.4868 0.2701
0.7167 0.2167 0.7299
0.0132 0.5132 0.7299
0.2167 0.0132 0.7299
0.5132 0.7167 0.7299
0.7833 0.9868 0.2701
0.4868 0.2833 0.2701
0.2833 0.7833 0.2701
0.5000 0.5000 0.0000
0.0000 0.0000 0.0000
```

***

[11]
This record from the Alexandria database describes PrPaMnN3 after structural relaxation. The functional is GGA-PBE.

ρ: 8.63 g cm⁻³
calculated total energy: -0.676 Ry/atom
raw formation energy: -1.13 eV/atom
D(E_F): 0.2952 states/eV/atom

Structure (POSCAR):
```
PrPaMnN3
1.0
-2.8265 1.7580 -0.8384
-0.8666 -4.2307 -5.9494
-3.7777 -3.6273 5.1302
Pr Pa Mn N
2 2 2 6
direct
0.7500 0.8243 0.7923
0.2500 0.1757 0.2077
0.2500 0.6643 0.1826
0.7500 0.3357 0.8174
0.2500 0.0831 0.5724
0.7500 0.9169 0.4276
0.2500 0.8187 0.5272
0.7500 0.8754 0.1466
0.7500 0.4393 0.1375
0.7500 0.1813 0.4728
0.2500 0.5607 0.8625
0.2500 0.1246 0.8534
```

***

[12]
This record from the Alexandria database describes PrPa4Mn3N12 after structural relaxation. The functional is GGA-PBE.

ρ: 8.50 g cm⁻³
calculated total energy: -0.682 Ry/atom
raw formation energy: -0.77 eV/atom
D(E_F): 0.5067 states/eV/atom

Structure (POSCAR):
```
PrPa4Mn3N12
1.0
7.0791 0.0000 0.0000
-2.3597 6.6743 0.0000
-2.3597 -3.3371 5.7801
Pr Pa Mn N
1 4 3 12
direct
0.0000 0.0000 0.0000
0.5000 0.0000 0.0000
0.5000 0.5000 0.5000
0.0000 0.5000 0.0000
0.0000 0.0000 0.5000
0.0000 0.5000 0.5000
0.5000 0.5000 0.0000
0.5000 0.0000 0.5000
0.3172 0.8446 0.1618
0.6828 0.1554 0.8382
0.6828 0.8446 0.5273
0.8382 0.6828 0.1554
0.8446 0.1618 0.3172
0.1554 0.4727 0.3172
0.4727 0.3172 0.1554
0.1554 0.8382 0.6828
0.3172 0.1554 0.4727
0.1618 0.3172 0.8446
0.8446 0.5273 0.6828
0.5273 0.6828 0.8446
```

***

[13]
This record from the Alexandria database describes PuPaMnN3 after structural relaxation. The functional is GGA-PBE.

ρ: 11.21 g cm⁻³
calculated total energy: -0.788 Ry/atom
raw formation energy: -1.07 eV/atom
D(E_F): 1.0604 states/eV/atom

Structure (POSCAR):
```
PuPaMnN3
1.0
3.3644 0.0000 0.0000
0.0000 7.1436 0.8077
0.0000 -1.8855 6.8366
Pu Pa Mn N
2 2 2 6
direct
0.7500 0.8401 0.8074
0.2500 0.1599 0.1926
0.2500 0.6517 0.1884
0.7500 0.3483 0.8116
0.2500 0.0916 0.5777
0.7500 0.9084 0.4223
0.2500 0.8233 0.5382
0.7500 0.8841 0.1424
0.7500 0.4220 0.1370
0.7500 0.1767 0.4618
0.2500 0.5780 0.8630
0.2500 0.1159 0.8576
```

***

[14]
This record from the Alexandria database describes PuPa2MnN5 after structural relaxation. The functional is GGA-PBE.

ρ: 11.48 g cm⁻³
calculated total energy: -0.773 Ry/atom
raw formation energy: -1.17 eV/atom
D(E_F): 0.9494 states/eV/atom

Structure (POSCAR):
```
PuPa2MnN5
1.0
5.5930 0.0000 0.0000
0.0000 6.5560 0.0000
0.0000 0.0000 6.5560
Pu Pa Mn N
2 4 2 10
direct
0.0000 0.5000 0.5000
0.0000 0.0000 0.0000
0.5000 0.6715 0.1715
0.5000 0.1715 0.3285
0.5000 0.8285 0.6715
0.5000 0.3285 0.8285
0.0000 0.0000 0.5000
0.0000 0.5000 0.0000
0.5000 0.5000 0.5000
0.5000 0.0000 0.0000
0.2379 0.1484 0.6484
0.2379 0.8516 0.3516
0.2379 0.3516 0.1484
0.2379 0.6484 0.8516
0.7621 0.1484 0.6484
0.7621 0.6484 0.8516
0.7621 0.8516 0.3516
0.7621 0.3516 0.1484
```

***

[15]
This record from the Alexandria database describes PuPa2MnN4 after structural relaxation. The functional is GGA-PBE.

ρ: 12.11 g cm⁻³
calculated total energy: -0.786 Ry/atom
raw formation energy: -1.23 eV/atom
D(E_F): 1.4279 states/eV/atom

Structure (POSCAR):
```
PuPa2MnN4
1.0
-1.5553 0.5413 2.9699
4.1652 -4.2108 1.0072
7.6333 8.1514 2.5116
Pu Pa Mn N
2 4 2 8
direct
0.1060 0.2120 0.7500
0.8940 0.7880 0.2500
0.3677 0.7354 0.5579
0.6323 0.2646 0.0579
0.6323 0.2646 0.4421
0.3677 0.7354 0.9421
0.8446 0.6893 0.7500
0.1554 0.3107 0.2500
0.2724 0.5448 0.1224
0.7276 0.4552 0.6224
0.7276 0.4552 0.8776
0.2724 0.5448 0.3776
0.0000 0.0000 0.5000
0.0000 0.0000 0.0000
0.4465 0.8930 0.7500
0.5535 0.1070 0.2500
```

***

[16]
This record from the Alexandria database describes Rb4Pa3MnN8 after structural relaxation. The functional is GGA-PBE.

ρ: 7.04 g cm⁻³
calculated total energy: -0.548 Ry/atom
raw formation energy: -0.70 eV/atom
D(E_F): 0.5548 states/eV/atom

Structure (POSCAR):
```
Rb4Pa3MnN8
1.0
-6.1046 1.0909 -3.1994
-3.5118 0.7643 6.9612
5.3980 4.2471 -1.2418
Rb Pa Mn N
4 3 1 8
direct
0.5000 0.0000 0.0000
0.5000 0.0000 0.5000
0.0000 0.0000 0.0000
0.0000 0.0000 0.5000
0.5000 0.5000 0.0000
0.5000 0.5000 0.5000
0.0000 0.5000 0.5000
0.0000 0.5000 0.0000
0.2123 0.6547 0.9425
0.2125 0.6548 0.4249
0.2803 0.3411 0.5607
0.7302 0.6547 0.9425
0.2698 0.3453 0.0575
0.7197 0.6589 0.4393
0.7875 0.3452 0.5751
0.7877 0.3453 0.0575
```

***

[17]
This record from the Alexandria database describes RbPa2MnN5 after structural relaxation. The functional is GGA-PBE.

ρ: 8.74 g cm⁻³
calculated total energy: -0.644 Ry/atom
raw formation energy: -0.90 eV/atom
D(E_F): 0.0959 states/eV/atom

Structure (POSCAR):
```
RbPa2MnN5
1.0
-6.4743 1.4262 1.0515
-1.3353 -1.3089 -6.4467
2.9209 -5.4880 4.0038
Rb Pa Mn N
2 4 2 10
direct
0.2500 0.2500 0.5000
0.7500 0.7500 0.5000
0.1853 0.3147 0.0000
0.6853 0.1853 0.0000
0.3147 0.8147 0.0000
0.8147 0.6853 0.0000
0.2500 0.7500 0.5000
0.7500 0.2500 0.5000
0.9962 0.4962 0.2554
0.7408 0.2408 0.7446
0.0038 0.5038 0.7446
0.2408 0.0038 0.7446
0.5038 0.7408 0.7446
0.7592 0.9962 0.2554
0.4962 0.2592 0.2554
0.2592 0.7592 0.2554
0.5000 0.5000 0.0000
0.0000 0.0000 0.0000
```

***

[18]
This record from the Alexandria database describes Rb2PaMnN4 after structural relaxation. The functional is GGA-PBE.

ρ: 5.38 g cm⁻³
calculated total energy: -0.526 Ry/atom
raw formation energy: -0.42 eV/atom
D(E_F): 0.0973 states/eV/atom

Structure (POSCAR):
```
Rb2PaMnN4
1.0
-4.5146 3.7843 -1.0417
-5.1989 -5.5391 2.4090
0.4662 2.2699 6.2255
Rb Pa Mn N
4 2 2 8
direct
0.4734 0.3547 0.2528
0.4734 0.3547 0.7472
0.9734 0.6453 0.7528
0.9734 0.6453 0.2472
0.9954 0.1032 0.5000
0.4954 0.8968 0.0000
0.5007 0.8389 0.5000
0.0007 0.1611 0.0000
0.2908 0.1087 0.0000
0.7908 0.8913 0.5000
0.3490 0.0280 0.5000
0.8490 0.9720 0.0000
0.4586 0.7302 0.7372
0.9586 0.2698 0.2372
0.9586 0.2698 0.7628
0.4586 0.7302 0.2628
```